MnBrCl | GGA-PBEsol | relaxed

Summary:
E_form (uncorrected), eV/atom: -0.81
Energy relative to the lowest polymorph listed for this composition, eV/atom: 0.000
Total magnetic moment, μB/cell: 5.00

```
data_MnBrCl
_cell_length_a 3.7169
_cell_length_b 3.7169
_cell_length_c 6.2863
_cell_angle_alpha 90.00
_cell_angle_beta 90.00
_cell_angle_gamma 120.00
_space_group_name_H-M_alt 'P 3 m 1'
_space_group_IT_number 156
loop_
_space_group_symop_operation_xyz
'x,y,z'
'-y,x-y,z'
'-x+y,-x,z'
'-y,-x,z'
'-x+y,y,z'
'x,x-y,z'
loop_
_atom_site_label
_atom_site_type_symbol
_atom_site_fract_x
_atom_site_fract_y
_atom_site_fract_z
Mn1 Mn 0.0000 0.0000 0.0000
Br1 Br 0.3333 0.6667 0.7537
Cl1 Cl 0.6667 0.3333 0.2114
```

=====

KIr2Pb | GGA-PBEsol | relaxed

Summary:
Energy of formation from the pure elements, meV/atom: 918
Total magnetic moment, μB/cell: 0.00

```
data_KIr2Pb
_cell_length_a 3.0492
_cell_length_b 3.0492
_cell_length_c 29.3873
_cell_angle_alpha 90.00
_cell_angle_beta 90.00
_cell_angle_gamma 120.00
_space_group_name_H-M_alt 'R -3 m'
_space_group_IT_number 166
_space_group_name_Hall '-R 3 2"'
loop_
_atom_site_label
_atom_site_type_symbol
_atom_site_fract_x
_atom_site_fract_y
_atom_site_fract_z
K1 K 0.0000 0.0000 0.0000
Ir1 Ir 0.0000 0.0000 0.2406
Pb1 Pb 0.0000 0.0000 0.5000
```

=====

MnZnAg | GGA-PBEsol | relaxed

Summary:
Energy of formation from the pure elements, meV/atom: 231
Energy relative to the lowest polymorph listed for this composition, eV/atom: 0.040
Total magnetic moment, μB/cell: 3.58

```
data_MnZnAg
_cell_length_a 4.3546
_cell_length_b 4.3546
_cell_length_c 2.6900
_cell_angle_alpha 90.00
_cell_angle_beta 90.00
_cell_angle_gamma 120.00
_space_group_name_H-M_alt 'P 3 m 1'
_space_group_IT_number 156
loop_
_space_group_symop_operation_xyz
'x,y,z'
'-y,x-y,z'
'-x+y,-x,z'
'-y,-x,z'
'-x+y,y,z'
'x,x-y,z'
loop_
_atom_site_label
_atom_site_type_symbol
_atom_site_fract_x
_atom_site_fract_y
_atom_site_fract_z
Mn1 Mn 0.0000 0.0000 0.0000
Zn1 Zn 0.3333 0.6667 0.5846
Ag1 Ag 0.6667 0.3333 0.4318
```

=====

What are the calculated volume values for these records? In order: 25.1 19.7 14.7 A^3/atom.
What are the uncorrected energy values for these records? In order: -5.361 -5.277 -4.654 eV per atom.